# GeBi2Pd8 (PBE, optimized geometry)
data_GeBi2Pd8
_chemical_formula_sum 'Ge2 Bi4 Pd16'
_symmetry_space_group_name_H-M 'C 1 2/m 1'
_symmetry_Int_Tables_number 12
_symmetry_space_group_name_Hall '-C 2y'
_cell_length_a 15.000
_cell_length_b 4.422
_cell_length_c 5.924
_cell_angle_alpha 90.00
_cell_angle_beta 102.99
_cell_angle_gamma 90.00
loop_
_atom_site_label
_atom_site_type_symbol
_atom_site_fract_x
_atom_site_fract_y
_atom_site_fract_z
Ge1 Ge 0.000 0.000 0.000
Bi1 Bi 0.199 0.500 0.675
Pd1 Pd 0.024 0.500 0.768
Pd2 Pd 0.084 0.000 0.421
Pd3 Pd 0.155 0.000 0.917
Pd4 Pd 0.162 0.500 0.203
# Magnetic moment in μB per formula unit: 0.00
# Calculated total energy in eV per atom: -5.194
# DOS at the Fermi energy in states/eV per cell: 9.03
# E_form in meV/atom: -292
# Calculated density in g/cm³: 11.6